(A)
# GGA-PBE Tm7Bi2Ir2, relaxed
data_Tm7Bi2Ir2
_cell_length_a 7.188
_cell_length_b 6.800
_cell_length_c 6.800
_cell_angle_alpha 80.38
_cell_angle_beta 90.00
_cell_angle_gamma 90.00
_symmetry_space_group_name_H-M 'P 1'
_symmetry_Int_Tables_number 1
_symmetry_space_group_name_Hall 'P 1'
loop_
_atom_site_label
_atom_site_fract_x
_atom_site_fract_y
_atom_site_fract_z
_atom_site_occupancy
Ir1 0.000 0.278 0.278 1
Ir2 0.000 0.722 0.722 1
Tm1 0.000 0.000 0.000 1
Tm2 0.767 0.000 0.500 1
Tm3 0.233 0.000 0.500 1
Tm4 0.233 0.500 0.000 1
Tm5 0.773 0.500 0.500 1
Tm6 0.767 0.500 0.000 1
Tm7 0.227 0.500 0.500 1
Bi1 0.500 0.209 0.791 1
Bi2 0.500 0.791 0.209 1
# Total moment = 0.000 μB/atom
# Symmetry = No. 65
# D(E_F) = 7.290 states/eV/f.u.
# Mass density = 10.056 g cm⁻³

***

(B)
# GGA-PBE Tm7Bi2Ir2, relaxed
data_Tm7Bi2Ir2
_cell_length_a 3.781
_cell_length_b 9.612
_cell_length_c 9.612
_cell_angle_alpha 60.15
_cell_angle_beta 78.66
_cell_angle_gamma 78.66
_symmetry_space_group_name_H-M 'P 1'
_symmetry_Int_Tables_number 1
_symmetry_space_group_name_Hall 'P 1'
loop_
_atom_site_label
_atom_site_fract_x
_atom_site_fract_y
_atom_site_fract_z
_atom_site_occupancy
Tm1 0.633 0.467 0.267 1
Tm2 0.367 0.733 0.533 1
Tm3 0.184 0.714 0.918 1
Tm4 0.847 0.407 0.899 1
Tm5 0.500 0.034 0.966 1
Tm6 0.153 0.101 0.593 1
Tm7 0.816 0.082 0.286 1
Bi1 0.500 0.360 0.640 1
Bi2 0.000 0.765 0.235 1
Ir1 0.260 0.335 0.145 1
Ir2 0.740 0.855 0.665 1
# Total moment = 0.000 μB/atom
# Symmetry = No. 44
# D(E_F) = 9.723 states/eV/f.u.
# Mass density = 11.171 g cm⁻³

***

Which structure is the most stable? The one labeled (B).

***

(A)
# GGA-PBE Tm4BiIr, relaxed
data_Tm4BiIr
_cell_length_a 5.383
_cell_length_b 10.451
_cell_length_c 9.743
_cell_angle_alpha 120.59
_cell_angle_beta 90.00
_cell_angle_gamma 104.92
_symmetry_space_group_name_H-M 'P 1'
_symmetry_Int_Tables_number 1
_symmetry_space_group_name_Hall 'P 1'
loop_
_atom_site_label
_atom_site_fract_x
_atom_site_fract_y
_atom_site_fract_z
_atom_site_occupancy
Tm1 0.613 0.226 0.678 1
Tm2 0.194 0.387 0.004 1
Tm3 0.245 0.491 0.664 1
Tm4 0.030 0.060 0.363 1
Tm5 0.970 0.940 0.637 1
Tm6 0.387 0.774 0.322 1
Tm7 0.755 0.509 0.336 1
Tm8 0.806 0.613 0.996 1
Bi1 0.839 0.677 0.721 1
Bi2 0.161 0.323 0.279 1
Ir1 0.883 0.767 0.316 1
Ir2 0.117 0.233 0.684 1
# Total moment = 0.000 μB/atom
# Symmetry = No. 12
# D(E_F) = 4.208 states/eV/f.u.
# Mass density = 7.945 g cm⁻³

***

(B)
# GGA-PBE Tm4BiIr, relaxed
data_Tm4BiIr
_cell_length_a 4.101
_cell_length_b 8.031
_cell_length_c 19.193
_cell_angle_alpha 90.00
_cell_angle_beta 90.00
_cell_angle_gamma 90.00
_symmetry_space_group_name_H-M 'P 1'
_symmetry_Int_Tables_number 1
_symmetry_space_group_name_Hall 'P 1'
loop_
_atom_site_label
_atom_site_fract_x
_atom_site_fract_y
_atom_site_fract_z
_atom_site_occupancy
Bi1 0.750 0.239 0.690 1
Bi2 0.750 0.739 0.810 1
Bi3 0.250 0.761 0.310 1
Bi4 0.250 0.261 0.190 1
Tm1 0.250 0.002 0.066 1
Tm2 0.250 0.642 0.143 1
Tm3 0.250 0.639 0.953 1
Tm4 0.750 0.358 0.857 1
Tm5 0.750 0.955 0.212 1
Tm6 0.250 0.139 0.547 1
Tm7 0.750 0.455 0.288 1
Tm8 0.750 0.361 0.047 1
Tm9 0.750 0.858 0.643 1
Tm10 0.750 0.861 0.453 1
Tm11 0.750 0.998 0.934 1
Tm12 0.250 0.545 0.712 1
Tm13 0.250 0.142 0.357 1
Tm14 0.250 0.502 0.434 1
Tm15 0.250 0.045 0.788 1
Tm16 0.750 0.498 0.566 1
Ir1 0.250 0.751 0.550 1
Ir2 0.750 0.249 0.450 1
Ir3 0.750 0.749 0.050 1
Ir4 0.250 0.251 0.950 1
# Total moment = 0.102 μB/atom
# Symmetry = No. 62
# D(E_F) = 5.802 states/eV/f.u.
# Mass density = 11.315 g cm⁻³

***

Which structure is the most stable? The one labeled (B).

***

(A)
# GGA-PBE Tm2BiIr, relaxed
data_Tm2BiIr
_cell_length_a 3.468
_cell_length_b 3.468
_cell_length_c 8.040
_cell_angle_alpha 90.00
_cell_angle_beta 90.00
_cell_angle_gamma 90.00
_symmetry_space_group_name_H-M 'P 1'
_symmetry_Int_Tables_number 1
_symmetry_space_group_name_Hall 'P 1'
loop_
_atom_site_label
_atom_site_fract_x
_atom_site_fract_y
_atom_site_fract_z
_atom_site_occupancy
Tm1 0.000 0.000 0.201 1
Tm2 0.000 0.000 0.799 1
Bi1 0.500 0.500 0.500 1
Ir1 0.500 0.500 0.000 1
# Total moment = 0.000 μB/atom
# Symmetry = No. 123
# D(E_F) = 1.874 states/eV/f.u.
# Mass density = 12.690 g cm⁻³

***

(B)
# GGA-PBE Tm2BiIr, relaxed
data_Tm2BiIr
_cell_length_a 3.907
_cell_length_b 3.907
_cell_length_c 8.408
_cell_angle_alpha 76.56
_cell_angle_beta 76.56
_cell_angle_gamma 60.00
_symmetry_space_group_name_H-M 'P 1'
_symmetry_Int_Tables_number 1
_symmetry_space_group_name_Hall 'P 1'
loop_
_atom_site_label
_atom_site_fract_x
_atom_site_fract_y
_atom_site_fract_z
_atom_site_occupancy
Bi1 0.500 0.500 0.500 1
Tm1 0.731 0.731 0.808 1
Tm2 0.269 0.269 0.192 1
Ir1 0.000 0.000 0.000 1
# Total moment = 0.000 μB/atom
# Symmetry = No. 166
# D(E_F) = 2.704 states/eV/f.u.
# Mass density = 11.461 g cm⁻³

***

Which structure is the most stable? The one labeled (A).

***

(A)
# GGA-PBE VBi2Ir, relaxed
data_VBi2Ir
_cell_length_a 4.941
_cell_length_b 4.941
_cell_length_c 4.941
_cell_angle_alpha 60.00
_cell_angle_beta 60.00
_cell_angle_gamma 60.00
_symmetry_space_group_name_H-M 'P 1'
_symmetry_Int_Tables_number 1
_symmetry_space_group_name_Hall 'P 1'
loop_
_atom_site_label
_atom_site_fract_x
_atom_site_fract_y
_atom_site_fract_z
_atom_site_occupancy
Bi1 0.250 0.250 0.250 1
Bi2 0.750 0.750 0.750 1
V1 0.000 0.000 0.000 1
Ir1 0.500 0.500 0.500 1
# Total moment = 0.780 μB/atom
# Symmetry = No. 225
# D(E_F) = 5.017 states/eV/f.u.
# Mass density = 12.872 g cm⁻³

***

(B)
# GGA-PBE VBi2Ir, relaxed
data_VBi2Ir
_cell_length_a 6.670
_cell_length_b 6.670
_cell_length_c 7.185
_cell_angle_alpha 62.34
_cell_angle_beta 62.34
_cell_angle_gamma 90.00
_symmetry_space_group_name_H-M 'P 1'
_symmetry_Int_Tables_number 1
_symmetry_space_group_name_Hall 'P 1'
loop_
_atom_site_label
_atom_site_fract_x
_atom_site_fract_y
_atom_site_fract_z
_atom_site_occupancy
Bi1 0.105 0.625 0.250 1
Bi2 0.375 0.355 0.750 1
Bi3 0.875 0.895 0.750 1
Bi4 0.645 0.125 0.250 1
Ir1 0.000 0.000 0.000 1
Ir2 0.750 0.250 0.500 1
V1 0.500 0.500 0.000 1
V2 0.250 0.750 0.500 1
# Total moment = 0.738 μB/atom
# Symmetry = No. 122
# D(E_F) = 4.727 states/eV/f.u.
# Mass density = 9.105 g cm⁻³

***

Which structure is the most stable? The one labeled (A).

***

(A)
# GGA-PBE Bi3IrW, relaxed
data_Bi3IrW
_cell_length_a 5.310
_cell_length_b 5.310
_cell_length_c 5.310
_cell_angle_alpha 90.00
_cell_angle_beta 90.00
_cell_angle_gamma 90.00
_symmetry_space_group_name_H-M 'P 1'
_symmetry_Int_Tables_number 1
_symmetry_space_group_name_Hall 'P 1'
loop_
_atom_site_label
_atom_site_fract_x
_atom_site_fract_y
_atom_site_fract_z
_atom_site_occupancy
Bi1 0.000 0.500 0.000 1
Bi2 0.500 0.000 0.000 1
Bi3 0.000 0.000 0.500 1
W1 0.500 0.500 0.500 1
Ir1 0.000 0.000 0.000 1
# Total moment = 0.745 μB/atom
# Symmetry = No. 221
# D(E_F) = 4.771 states/eV/f.u.
# Mass density = 11.127 g cm⁻³

***

(B)
# GGA-PBE Bi3IrW, relaxed
data_Bi3IrW
_cell_length_a 5.285
_cell_length_b 5.285
_cell_length_c 5.285
_cell_angle_alpha 90.00
_cell_angle_beta 90.00
_cell_angle_gamma 90.00
_symmetry_space_group_name_H-M 'P 1'
_symmetry_Int_Tables_number 1
_symmetry_space_group_name_Hall 'P 1'
loop_
_atom_site_label
_atom_site_fract_x
_atom_site_fract_y
_atom_site_fract_z
_atom_site_occupancy
Bi1 0.000 0.000 0.500 1
Bi2 0.500 0.000 0.000 1
Bi3 0.000 0.500 0.000 1
Ir1 0.500 0.500 0.500 1
W1 0.000 0.000 0.000 1
# Total moment = 0.000 μB/atom
# Symmetry = No. 221
# D(E_F) = 7.603 states/eV/f.u.
# Mass density = 11.282 g cm⁻³

***

Which structure is the most stable? The one labeled (B).